(1)
# Rh8Pb meta-GGA SCAN single point on PBEsol structure
data_Rh8Pb
_chemical_formula_sum 'Rh16 Pb2'
_space_group_name_H-M_alt 'I 4/m m m'
_space_group_IT_number 139
_space_group_name_Hall '-I 4 2'
_cell_length_a 8.192
_cell_length_b 8.192
_cell_length_c 3.860
_cell_angle_alpha 90.00
_cell_angle_beta 90.00
_cell_angle_gamma 90.00
loop_
_atom_site_label
_atom_site_type_symbol
_atom_site_fract_x
_atom_site_fract_y
_atom_site_fract_z
Rh1 Rh 0.000 0.339 0.000
Rh2 Rh 0.175 0.175 0.500
Pb1 Pb 0.000 0.000 0.000
# - calculated total energy (eV/atom) = -38.33
# - theoretical density (g/cm³) = 13.21

(2)
# Rh3Pb meta-GGA SCAN single point on PBEsol structure
data_Rh3Pb
_chemical_formula_sum 'Rh6 Pb2'
_space_group_name_H-M_alt 'I 4/m m m'
_space_group_IT_number 139
_space_group_name_Hall '-I 4 2'
_cell_length_a 4.024
_cell_length_b 4.024
_cell_length_c 7.632
_cell_angle_alpha 90.00
_cell_angle_beta 90.00
_cell_angle_gamma 90.00
loop_
_atom_site_label
_atom_site_type_symbol
_atom_site_fract_x
_atom_site_fract_y
_atom_site_fract_z
Rh1 Rh 0.000 0.000 0.000
Rh2 Rh 0.000 0.500 0.250
Pb1 Pb 0.000 0.000 0.500
# - calculated total energy (eV/atom) = -44.18
# - theoretical density (g/cm³) = 13.86

(3)
# Rh4Pb meta-GGA SCAN single point on PBEsol structure
data_Rh4Pb
_chemical_formula_sum 'Rh8 Pb2'
_space_group_name_H-M_alt 'I 4/m'
_space_group_IT_number 87
_space_group_name_Hall '-I 4'
_cell_length_a 6.194
_cell_length_b 6.194
_cell_length_c 3.925
_cell_angle_alpha 90.00
_cell_angle_beta 90.00
_cell_angle_gamma 90.00
loop_
_atom_site_label
_atom_site_type_symbol
_atom_site_fract_x
_atom_site_fract_y
_atom_site_fract_z
Rh1 Rh 0.099 0.689 0.000
Pb1 Pb 0.000 0.000 0.500
# - calculated total energy (eV/atom) = -42.09
# - theoretical density (g/cm³) = 13.65

(4)
# RhPb meta-GGA SCAN single point on PBEsol structure
data_RhPb
_chemical_formula_sum 'Rh4 Pb4'
_space_group_name_H-M_alt 'C 1 2/m 1'
_space_group_IT_number 12
_space_group_name_Hall '-C 2y'
_cell_length_a 9.950
_cell_length_b 3.451
_cell_length_c 4.445
_cell_angle_alpha 90.00
_cell_angle_beta 101.48
_cell_angle_gamma 90.00
loop_
_atom_site_label
_atom_site_type_symbol
_atom_site_fract_x
_atom_site_fract_y
_atom_site_fract_z
Rh1 Rh 0.106 0.000 0.290
Pb1 Pb 0.125 0.500 0.795
# - calculated total energy (eV/atom) = -54.70
# - theoretical density (g/cm³) = 13.77

(5)
# RhPb meta-GGA SCAN single point on PBEsol structure
data_RhPb
_chemical_formula_sum 'Rh2 Pb2'
_space_group_name_H-M_alt 'P 4/n m m'
_space_group_IT_number 129
_cell_length_a 3.691
_cell_length_b 3.691
_cell_length_c 5.614
_cell_angle_alpha 90.00
_cell_angle_beta 90.00
_cell_angle_gamma 90.00
loop_
_space_group_symop_operation_xyz
'x,y,z'
'-x,-y,-z'
'-y+1/2,x,z'
'y+1/2,-x,-z'
'-x+1/2,-y+1/2,z'
'x+1/2,y+1/2,-z'
'y,-x+1/2,z'
'-y,x+1/2,-z'
'x+1/2,-y,-z'
'-x+1/2,y,z'
'-y,-x,-z'
'y,x,z'
'-x,y+1/2,-z'
'x,-y+1/2,z'
'y+1/2,x+1/2,-z'
'-y+1/2,-x+1/2,z'
loop_
_atom_site_label
_atom_site_type_symbol
_atom_site_fract_x
_atom_site_fract_y
_atom_site_fract_z
Rh1 Rh 0.250 0.250 0.166
Pb1 Pb 0.250 0.250 0.682
# - calculated total energy (eV/atom) = -54.64
# - theoretical density (g/cm³) = 13.46

(6)
# Ru2RhPb meta-GGA SCAN single point on PBEsol structure
data_Ru2RhPb
_chemical_formula_sum 'Ru6 Rh3 Pb3'
_space_group_name_H-M_alt 'R 3 m'
_space_group_IT_number 160
_space_group_name_Hall 'R 3 -2"'
_cell_length_a 2.8790
_cell_length_b 2.8790
_cell_length_c 26.5817
_cell_angle_alpha 90.00
_cell_angle_beta 90.00
_cell_angle_gamma 120.00
loop_
_atom_site_label
_atom_site_type_symbol
_atom_site_fract_x
_atom_site_fract_y
_atom_site_fract_z
Ru1 Ru 0.0000 0.0000 0.0000
Ru2 Ru 0.0000 0.0000 0.2588
Rh1 Rh 0.0000 0.0000 0.5129
Pb1 Pb 0.0000 0.0000 0.7579
# - calculated total energy (eV/atom) = -44.23
# - theoretical density (g/cm³) = 13.37

(7)
# Ru2RhPb meta-GGA SCAN single point on PBEsol structure
data_Ru2RhPb
_chemical_formula_sum 'Ru8 Rh4 Pb4'
_space_group_name_H-M_alt 'F -4 3 m'
_space_group_IT_number 216
_space_group_name_Hall 'F -4 2 3'
_cell_length_a 6.309
_cell_length_b 6.309
_cell_length_c 6.309
_cell_angle_alpha 90.00
_cell_angle_beta 90.00
_cell_angle_gamma 90.00
loop_
_atom_site_label
_atom_site_type_symbol
_atom_site_fract_x
_atom_site_fract_y
_atom_site_fract_z
Ru1 Ru 0.000 0.000 0.000
Ru2 Ru 0.250 0.250 0.250
Rh1 Rh 0.000 0.000 0.500
Pb1 Pb 0.250 0.250 0.750
# - calculated total energy (eV/atom) = -44.31
# - theoretical density (g/cm³) = 13.55

(8)
# TaRu2RhPb meta-GGA SCAN single point on PBEsol structure
data_TaRu2RhPb
_chemical_formula_sum 'Ta1 Ru2 Rh1 Pb1'
_space_group_name_H-M_alt 'P 4/m m m'
_space_group_IT_number 123
_space_group_name_Hall '-P 4 2'
_cell_length_a 4.676
_cell_length_b 4.676
_cell_length_c 4.725
_cell_angle_alpha 90.00
_cell_angle_beta 90.00
_cell_angle_gamma 90.00
loop_
_atom_site_label
_atom_site_type_symbol
_atom_site_fract_x
_atom_site_fract_y
_atom_site_fract_z
Ta1 Ta 0.000 0.000 0.000
Ru1 Ru 0.000 0.500 0.000
Rh1 Rh 0.000 0.000 0.500
Pb1 Pb 0.500 0.500 0.500
# - calculated total energy (eV/atom) = -48.02
# - theoretical density (g/cm³) = 11.14

(9)
# Rh3Pb2S2 meta-GGA SCAN single point on PBEsol structure
data_Rh3Pb2S2
_chemical_formula_sum 'Rh9 Pb6 S6'
_space_group_name_H-M_alt 'R -3 m'
_space_group_IT_number 166
_space_group_name_Hall '-R 3 2"'
_cell_length_a 5.6873
_cell_length_b 5.6873
_cell_length_c 13.7491
_cell_angle_alpha 90.00
_cell_angle_beta 90.00
_cell_angle_gamma 120.00
loop_
_atom_site_label
_atom_site_type_symbol
_atom_site_fract_x
_atom_site_fract_y
_atom_site_fract_z
Rh1 Rh 0.0000 0.5000 0.0000
Pb1 Pb 0.0000 0.0000 0.0000
Pb2 Pb 0.0000 0.0000 0.5000
S1 S 0.0000 0.0000 0.2161
# - formation energy without anion corrections (kJ per mole of atoms) = -40.9
# - calculated total energy (eV/atom) = -39.30
# - theoretical density (g/cm³) = 10.18

(10)
# SbRhPb2 meta-GGA SCAN single point on PBEsol structure
data_SbRhPb2
_chemical_formula_sum 'Sb2 Rh2 Pb4'
_space_group_name_H-M_alt 'A m m 2'
_space_group_IT_number 38
_space_group_name_Hall 'A 2 -2'
_cell_length_a 3.439
_cell_length_b 4.554
_cell_length_c 12.416
_cell_angle_alpha 90.00
_cell_angle_beta 90.00
_cell_angle_gamma 90.00
loop_
_atom_site_label
_atom_site_type_symbol
_atom_site_fract_x
_atom_site_fract_y
_atom_site_fract_z
Sb1 Sb 0.000 0.000 0.000
Rh1 Rh 0.500 0.000 0.159
Pb1 Pb 0.000 0.000 0.706
Pb2 Pb 0.500 0.000 0.383
# - formation energy without anion corrections (kJ per mole of atoms) = -2.9
# - calculated total energy (eV/atom) = -55.68
# - theoretical density (g/cm³) = 10.92

(11)
# SbRhPb3 meta-GGA SCAN single point on PBEsol structure
data_SbRhPb3
_chemical_formula_sum 'Sb1 Rh1 Pb3'
_space_group_name_H-M_alt 'P m -3 m'
_space_group_IT_number 221
_space_group_name_Hall '-P 4 2 3'
_cell_length_a 5.599
_cell_length_b 5.599
_cell_length_c 5.599
_cell_angle_alpha 90.00
_cell_angle_beta 90.00
_cell_angle_gamma 90.00
loop_
_atom_site_label
_atom_site_type_symbol
_atom_site_fract_x
_atom_site_fract_y
_atom_site_fract_z
Sb1 Sb 0.000 0.000 0.000
Rh1 Rh 0.500 0.500 0.500
Pb1 Pb 0.000 0.000 0.500
# - formation energy without anion corrections (kJ per mole of atoms) = 120.8
# - calculated total energy (eV/atom) = -58.42
# - theoretical density (g/cm³) = 8.01

(12)
# Sb2Rh2Pb meta-GGA SCAN single point on PBEsol structure
data_Sb2Rh2Pb
_chemical_formula_sum 'Sb4 Rh4 Pb2'
_space_group_name_H-M_alt 'I 4/m m m'
_space_group_IT_number 139
_space_group_name_Hall '-I 4 2'
_cell_length_a 4.658
_cell_length_b 4.658
_cell_length_c 10.045
_cell_angle_alpha 90.00
_cell_angle_beta 90.00
_cell_angle_gamma 90.00
loop_
_atom_site_label
_atom_site_type_symbol
_atom_site_fract_x
_atom_site_fract_y
_atom_site_fract_z
Sb1 Sb 0.000 0.500 0.250
Rh1 Rh 0.000 0.000 0.130
Pb1 Pb 0.000 0.000 0.500
# - formation energy without anion corrections (kJ per mole of atoms) = -5.4
# - calculated total energy (eV/atom) = -43.62
# - theoretical density (g/cm³) = 10.01

(13)
# Sb2RhPbSe meta-GGA SCAN single point on PBEsol structure
data_Sb2RhPbSe
_chemical_formula_sum 'Sb2 Rh1 Pb1 Se1'
_space_group_name_H-M_alt 'P 4/m m m'
_space_group_IT_number 123
_space_group_name_Hall '-P 4 2'
_cell_length_a 5.591
_cell_length_b 5.591
_cell_length_c 4.956
_cell_angle_alpha 90.00
_cell_angle_beta 90.00
_cell_angle_gamma 90.00
loop_
_atom_site_label
_atom_site_type_symbol
_atom_site_fract_x
_atom_site_fract_y
_atom_site_fract_z
Sb1 Sb 0.000 0.500 0.000
Rh1 Rh 0.000 0.000 0.500
Pb1 Pb 0.000 0.000 0.000
Se1 Se 0.500 0.500 0.500
# - formation energy without anion corrections (kJ per mole of atoms) = 119.1
# - calculated total energy (eV/atom) = -39.60
# - theoretical density (g/cm³) = 6.78

(14)
# Rh2PbSe meta-GGA SCAN single point on PBEsol structure
data_Rh2PbSe
_chemical_formula_sum 'Rh2 Pb1 Se1'
_space_group_name_H-M_alt 'P m m 2'
_space_group_IT_number 25
_space_group_name_Hall 'P 2 -2'
_cell_length_a 3.884
_cell_length_b 3.999
_cell_length_c 5.623
_cell_angle_alpha 90.00
_cell_angle_beta 90.00
_cell_angle_gamma 90.00
loop_
_atom_site_label
_atom_site_type_symbol
_atom_site_fract_x
_atom_site_fract_y
_atom_site_fract_z
Rh1 Rh 0.000 0.000 0.000
Rh2 Rh 0.500 0.500 0.010
Pb1 Pb 0.500 0.000 0.344
Se1 Se 0.000 0.500 0.772
# - formation energy without anion corrections (kJ per mole of atoms) = -22.5
# - calculated total energy (eV/atom) = -41.08
# - theoretical density (g/cm³) = 9.35